No. 1
Computed, not measured: Ce2PuFe after structural relaxation at the PBE level of DFT.

Cell and atoms, written as extended XYZ:
```
4
Lattice="0.000 3.468 3.468 3.468 0.000 3.468 3.468 3.468 0.000" Properties=species:S:1:pos:R:3 pbc="T T T"
Ce 1.734 1.734 1.734
Ce 5.203 5.203 5.203
Pu 0.000 0.000 0.000
Fe 3.468 3.468 3.468
```

Crystal system   cubic
Formation enthalpy at 0 K   0.234 eV/atom
Total magnetic moment   8.02 Bohr magnetons per cell
SG   No. 225



No. 2
Computed, not measured: Ce2PuFe after structural relaxation at the PBE level of DFT.

Cell and atoms, written as extended XYZ:
```
4
Lattice="3.319 0.000 0.000 0.000 3.319 0.000 0.000 0.000 8.063" Properties=species:S:1:pos:R:3 pbc="T T T"
Ce 0.000 0.000 1.701
Ce 0.000 0.000 6.362
Pu 1.659 1.659 4.031
Fe 1.659 1.659 0.000
```

Crystal system   tetragonal
Formation enthalpy at 0 K   0.106 eV/atom
Total magnetic moment   5.85 Bohr magnetons per cell
SG   No. 123



No. 3
Computed, not measured: Ce2PuFe after structural relaxation at the PBE level of DFT.

Cell and atoms, written as extended XYZ:
```
4
Lattice="2.246 1.297 4.820 -2.246 1.297 4.820 0.000 -2.594 4.820" Properties=species:S:1:pos:R:3 pbc="T T T"
Ce 0.000 0.000 0.000
Ce 0.000 0.000 3.365
Pu 0.000 0.000 6.968
Fe 0.000 0.000 10.875
```

Crystal system   trigonal
Formation enthalpy at 0 K   0.092 eV/atom
Total magnetic moment   5.12 Bohr magnetons per cell
SG   No. 160



No. 4
Computed, not measured: CePuFe2 after structural relaxation at the PBE level of DFT.

Cell and atoms, written as extended XYZ:
```
4
Lattice="3.274 0.000 0.000 0.000 3.274 0.000 0.000 0.000 6.952" Properties=species:S:1:pos:R:3 pbc="T T T"
Ce 0.000 0.000 0.000
Pu 0.000 0.000 3.476
Fe 1.637 1.637 2.023
Fe 1.637 1.637 4.929
```

Crystal system   tetragonal
Formation enthalpy at 0 K   0.094 eV/atom
Total magnetic moment   2.89 Bohr magnetons per cell
SG   No. 123



No. 5
Computed, not measured: CePu3Fe after structural relaxation at the PBE level of DFT.

Cell and atoms, written as extended XYZ:
```
5
Lattice="5.122 0.000 0.000 0.000 5.122 0.000 0.000 0.000 5.122" Properties=species:S:1:pos:R:3 pbc="T T T"
Ce 0.000 0.000 0.000
Pu 0.000 2.561 2.561
Pu 2.561 0.000 2.561
Pu 2.561 2.561 0.000
Fe 2.561 2.561 2.561
```

Crystal system   cubic
Formation enthalpy at 0 K   0.279 eV/atom
Total magnetic moment   18.12 Bohr magnetons per cell
SG   No. 221



No. 6
Computed, not measured: CePuFe4 after structural relaxation at the PBE level of DFT.

Cell and atoms, written as extended XYZ:
```
6
Lattice="0.000 3.579 3.579 3.579 0.000 3.579 3.579 3.579 0.000" Properties=species:S:1:pos:R:3 pbc="T T T"
Ce 0.000 0.000 0.000
Pu 5.368 5.368 5.368
Fe 2.689 2.689 2.689
Fe 4.469 4.469 2.689
Fe 4.469 2.689 4.469
Fe 2.689 4.469 4.469
```

Crystal system   cubic
Formation enthalpy at 0 K   0.074 eV/atom
Total magnetic moment   10.77 Bohr magnetons per cell
SG   No. 216



No. 7
Computed, not measured: CePuFe2 after structural relaxation at the PBE level of DFT.

Cell and atoms, written as extended XYZ:
```
4
Lattice="0.000 3.340 3.340 3.340 0.000 3.340 3.340 3.340 0.000" Properties=species:S:1:pos:R:3 pbc="T T T"
Ce 0.000 0.000 0.000
Pu 3.340 3.340 3.340
Fe 1.670 1.670 1.670
Fe 5.010 5.010 5.010
```

Crystal system   cubic
Formation enthalpy at 0 K   0.090 eV/atom
Total magnetic moment   3.00 Bohr magnetons per cell
SG   No. 225



No. 8
Computed, not measured: Ce8PuFe2 after structural relaxation at the PBE level of DFT.

Cell and atoms, written as extended XYZ:
```
11
Lattice="11.866 -3.281 0.000 11.866 3.281 0.000 -0.489 0.000 3.610" Properties=species:S:1:pos:R:3 pbc="T T T"
Ce 10.002 1.738 2.374
Ce 4.474 0.000 3.047
Ce 13.242 1.738 1.236
Ce 7.855 0.000 3.394
Ce 15.388 0.000 0.217
Ce 10.002 -1.738 2.374
Ce 18.770 0.000 0.564
Ce 13.242 -1.738 1.236
Pu 11.866 0.000 0.000
Fe 6.431 0.000 1.052
Fe 16.813 0.000 2.558
```

Crystal system   monoclinic
Formation enthalpy at 0 K   0.210 eV/atom
Total magnetic moment   4.44 Bohr magnetons per cell
SG   No. 12



No. 9
Computed, not measured: Ce4PuFe2 after structural relaxation at the PBE level of DFT.

Cell and atoms, written as extended XYZ:
```
14
Lattice="7.137 0.000 0.000 2.746 6.748 0.000 2.751 0.113 6.750" Properties=species:S:1:pos:R:3 pbc="T T T"
Ce 0.000 0.000 0.000
Ce 9.882 3.080 3.732
Ce 5.104 6.791 3.714
Ce 4.804 2.971 6.596
Ce 6.351 3.176 3.456
Ce 6.360 6.482 0.110
Ce 5.426 3.044 0.013
Ce 8.515 6.466 3.406
Pu 3.899 5.119 2.070
Pu 7.512 4.416 1.377
Fe 4.908 1.176 4.831
Fe 7.552 1.678 5.319
Fe 7.739 1.286 1.651
Fe 10.487 4.750 4.994
```

Crystal system   triclinic
Formation enthalpy at 0 K   0.059 eV/atom
Total magnetic moment   13.32 Bohr magnetons per cell
SG   No. 1



No. 10
Computed, not measured: CePuFeRh after structural relaxation at the PBE level of DFT.

Cell and atoms, written as extended XYZ:
```
4
Lattice="0.000 3.294 3.294 3.294 0.000 3.294 3.294 3.294 0.000" Properties=species:S:1:pos:R:3 pbc="T T T"
Ce 0.000 0.000 0.000
Pu 4.940 4.940 4.940
Fe 3.294 3.294 3.294
Rh 1.647 1.647 1.647
```

Crystal system   cubic
Formation enthalpy at 0 K   -0.111 eV/atom
Total magnetic moment   7.35 Bohr magnetons per cell
SG   No. 216



No. 11
Computed, not measured: Ce6PuFeSn2 after structural relaxation at the PBE level of DFT.

Cell and atoms, written as extended XYZ:
```
10
Lattice="0.000 5.078 5.078 5.078 0.000 5.078 5.078 5.078 0.000" Properties=species:S:1:pos:R:3 pbc="T T T"
Ce 5.078 5.078 2.470
Ce 5.078 2.470 5.078
Ce 7.686 5.078 5.078
Ce 2.470 5.078 5.078
Ce 5.078 7.686 5.078
Ce 5.078 5.078 7.686
Pu 0.000 0.000 0.000
Fe 5.078 5.078 5.078
Sn 2.539 2.539 2.539
Sn 7.617 7.617 7.617
```

Crystal system   cubic
Formation enthalpy at 0 K   -0.440 eV/atom
Total magnetic moment   0.00 Bohr magnetons per cell
SG   No. 225



No. 12
Computed, not measured: CePuFeTc after structural relaxation at the PBE level of DFT.

Cell and atoms, written as extended XYZ:
```
4
Lattice="0.000 3.387 3.387 3.387 0.000 3.387 3.387 3.387 0.000" Properties=species:S:1:pos:R:3 pbc="T T T"
Ce 0.000 0.000 0.000
Pu 3.387 3.387 3.387
Fe 5.080 5.080 5.080
Tc 1.693 1.693 1.693
```

Crystal system   cubic
Formation enthalpy at 0 K   0.085 eV/atom
Total magnetic moment   2.83 Bohr magnetons per cell
SG   No. 216



No. 13
Computed, not measured: Ce6PuTl2Fe after structural relaxation at the PBE level of DFT.

Cell and atoms, written as extended XYZ:
```
10
Lattice="0.000 5.104 5.119 5.096 0.000 5.119 5.096 5.104 0.000" Properties=species:S:1:pos:R:3 pbc="T T T"
Ce 5.096 5.104 2.473
Ce 5.096 2.473 5.119
Ce 7.719 5.104 5.119
Ce 2.473 5.104 5.119
Ce 5.096 7.736 5.119
Ce 5.096 5.104 7.765
Pu 0.000 0.000 0.000
Tl 2.548 2.552 2.559
Tl 7.644 7.657 7.678
Fe 5.096 5.104 5.119
```

Crystal system   orthorhombic
Formation enthalpy at 0 K   -0.256 eV/atom
Total magnetic moment   0.00 Bohr magnetons per cell
SG   No. 69



No. 14
Computed, not measured: CePuZnFe after structural relaxation at the PBE level of DFT.

Cell and atoms, written as extended XYZ:
```
4
Lattice="0.000 3.468 3.468 3.468 0.000 3.468 3.468 3.468 0.000" Properties=species:S:1:pos:R:3 pbc="T T T"
Ce 0.000 0.000 0.000
Pu 3.468 3.468 3.468
Zn 1.734 1.734 1.734
Fe 5.202 5.202 5.202
```

Crystal system   cubic
Formation enthalpy at 0 K   0.033 eV/atom
Total magnetic moment   4.72 Bohr magnetons per cell
SG   No. 216



No. 15
Computed, not measured: Rb4Ce3FeS8 after structural relaxation at the PBE level of DFT.

Cell and atoms, written as extended XYZ:
```
16
Lattice="4.120 2.379 7.647 -4.120 2.379 7.647 0.000 -4.758 7.647" Properties=species:S:1:pos:R:3 pbc="T T T"
Rb 0.000 0.000 0.000
Rb -2.060 -1.189 7.647
Rb -2.060 1.189 15.294
Rb 0.000 2.379 7.647
Ce -4.120 0.000 11.470
Ce -2.060 1.189 3.823
Ce 2.060 1.189 3.823
Fe 0.000 0.000 11.470
S 0.000 0.000 5.339
S -1.992 -1.150 12.905
S 0.000 -2.300 10.035
S -1.992 1.150 10.035
S 1.992 -1.150 12.906
S 0.000 2.300 12.906
S 1.992 1.150 10.035
S 0.000 0.000 17.602
```

Crystal system   trigonal
Formation energy without anion corrections   -23.1 eV per formula unit
Total magnetic moment   5.73 Bohr magnetons per cell
SG   No. 166



No. 16
Computed, not measured: Rb4Ce3FeSe8 after structural relaxation at the PBE level of DFT.

Cell and atoms, written as extended XYZ:
```
16
Lattice="4.288 2.475 7.953 -4.288 2.475 7.953 0.000 -4.951 7.953" Properties=species:S:1:pos:R:3 pbc="T T T"
Rb 0.000 0.000 0.000
Rb -2.144 -1.238 7.953
Rb -2.144 1.238 15.906
Rb 0.000 2.475 7.953
Ce -4.288 0.000 11.930
Ce -2.144 1.238 3.977
Ce 2.144 1.238 3.977
Fe 0.000 0.000 11.930
Se 0.000 0.000 5.582
Se -2.056 -1.187 13.441
Se 0.000 -2.374 10.418
Se -2.056 1.187 10.418
Se 2.056 -1.187 13.441
Se 0.000 2.374 13.441
Se 2.056 1.187 10.418
Se 0.000 0.000 18.277
```

Crystal system   trigonal
Formation energy without anion corrections   -21.8 eV per formula unit
Total magnetic moment   5.87 Bohr magnetons per cell
SG   No. 166



No. 17
Computed, not measured: CeFeReSi2 after structural relaxation at the PBE level of DFT.

Cell and atoms, written as extended XYZ:
```
5
Lattice="-2.024 2.024 5.107 2.024 -2.024 5.107 2.024 2.024 -5.107" Properties=species:S:1:pos:R:3 pbc="T T T"
Ce 0.000 0.000 0.000
Fe 0.000 2.024 2.553
Re 2.024 0.000 2.553
Si 0.000 0.000 3.848
Si 0.000 0.000 6.366
```

Crystal system   tetragonal
Formation energy without anion corrections   -2.6 eV per formula unit
Total magnetic moment   1.57 Bohr magnetons per cell
SG   No. 119



No. 18
Computed, not measured: Ce2FeRh after structural relaxation at the PBE level of DFT.

Cell and atoms, written as extended XYZ:
```
4
Lattice="3.439 0.000 0.000 0.000 3.439 0.000 0.000 0.000 6.818" Properties=species:S:1:pos:R:3 pbc="T T T"
Ce 0.000 0.000 1.653
Ce 0.000 0.000 5.165
Fe 1.720 1.720 0.000
Rh 1.720 1.720 3.409
```

Crystal system   tetragonal
Formation enthalpy at 0 K   -0.270 eV/atom
Total magnetic moment   0.03 Bohr magnetons per cell
SG   No. 123



No. 19
Computed, not measured: Ce4FeRh12 after structural relaxation at the PBE level of DFT.

Cell and atoms, written as extended XYZ:
```
17
Lattice="-4.166 4.166 4.166 4.166 -4.166 4.166 4.166 4.166 -4.166" Properties=species:S:1:pos:R:3 pbc="T T T"
Ce 2.083 2.083 -2.083
Ce 2.083 -2.083 2.083
Ce -2.083 2.083 2.083
Ce 2.083 2.083 2.083
Fe 0.000 0.000 0.000
Rh 2.388 0.000 0.000
Rh 5.943 0.000 0.000
Rh 4.166 2.083 0.000
Rh 4.166 0.000 2.083
Rh 0.000 2.388 0.000
Rh 0.000 0.000 2.388
Rh 2.083 4.166 0.000
Rh 2.083 0.000 4.166
Rh 0.000 5.943 0.000
Rh 0.000 0.000 5.943
Rh 0.000 4.166 2.083
Rh 0.000 2.083 4.166
```

Crystal system   cubic
Formation enthalpy at 0 K   -0.544 eV/atom
Total magnetic moment   3.90 Bohr magnetons per cell
SG   No. 229



No. 20
Computed, not measured: CeFe4Rh after structural relaxation at the PBE level of DFT.

Cell and atoms, written as extended XYZ:
```
6
Lattice="0.000 3.529 3.529 3.529 0.000 3.529 3.529 3.529 0.000" Properties=species:S:1:pos:R:3 pbc="T T T"
Ce 0.000 0.000 0.000
Fe 2.650 2.650 2.650
Fe 4.408 4.408 2.650
Fe 4.408 2.650 4.408
Fe 2.650 4.408 4.408
Rh 5.294 5.294 5.294
```

Crystal system   cubic
Formation enthalpy at 0 K   -0.034 eV/atom
Total magnetic moment   10.00 Bohr magnetons per cell
SG   No. 216